First-principles (PBE) data for a relaxed YAlGa2 crystal, as listed in the Alexandria database.

abc: 4.3061 4.3061 5.6742
angles: 67.70 67.70 60.00
Fractional coordinates of all 4 atoms:
Al (0.5000, 0.5000, 0.5000)
Ga (0.2231, 0.2231, 0.3306)
Ga (0.7769, 0.7769, 0.6694)
Y (0.0000, 0.0000, 0.0000)

Properties
- spin magnetization (μB per cell) = 0.00
- SG = R-3m (166)
- formation enthalpy at 0 K (eV/atom) = -0.408